CaMg4Ge2 | PBE | optimized geometry

## Properties
Energy = -39.7 eV/cell
Magnetization = 0.0 μB per formula unit
Space group = P4_2/mnm

Unit cell a=4.321 b=8.526 c=8.526 alpha=90.00 beta=90.00 gamma=90.00
Sites, in units of the cell vectors:
Ca 0.500 0.000 0.000
Ca 0.000 0.500 0.500
Mg 0.000 0.092 0.338
Mg 0.000 0.908 0.662
Mg 0.500 0.162 0.592
Mg 0.500 0.838 0.408
Mg 0.500 0.408 0.838
Mg 0.500 0.592 0.162
Mg 0.000 0.338 0.092
Mg 0.000 0.662 0.908
Ge 0.000 0.206 0.794
Ge 0.000 0.794 0.206
Ge 0.500 0.706 0.706
Ge 0.500 0.294 0.294

CaMgGe2 | PBE | optimized geometry

## Properties
Energy = -13.9 eV/cell
Magnetization = 0.0 μB per formula unit
Space group = Amm2

Unit cell a=3.276 b=5.437 c=5.437 alpha=109.08 beta=90.00 gamma=90.00
Sites, in units of the cell vectors:
Ca 0.000 0.026 0.974
Mg 0.500 0.581 0.419
Ge 0.500 0.100 0.492
Ge 0.500 0.508 0.900

CaMgGe2 | PBE | optimized geometry

## Properties
Energy = -14.2 eV/cell
Magnetization = 0.0 μB per formula unit
Space group = P4/mmm

Unit cell a=4.201 b=4.484 c=4.484 alpha=90.00 beta=90.00 gamma=90.00
Sites, in units of the cell vectors:
Mg 0.500 0.000 0.000
Ge 0.000 0.000 0.500
Ge 0.000 0.500 0.000
Ca 0.500 0.500 0.500

CaMgGe4 | PBE | optimized geometry

## Properties
Energy = -23.1 eV/cell
Magnetization = 0.0 μB per formula unit
Space group = F-43m

Unit cell a=5.632 b=5.632 c=5.632 alpha=60.00 beta=60.00 gamma=60.00
Sites, in units of the cell vectors:
Mg 0.000 0.000 0.000
Ge 0.626 0.626 0.122
Ge 0.626 0.122 0.626
Ge 0.626 0.626 0.626
Ge 0.122 0.626 0.626
Ca 0.250 0.250 0.250

CaMg2Ge | PBE | optimized geometry

## Properties
Energy = -22.4 eV/cell
Magnetization = 0.0 μB per formula unit
Space group = P4/nmm

Unit cell a=4.328 b=4.328 c=10.496 alpha=90.00 beta=90.00 gamma=90.00
Sites, in units of the cell vectors:
Ca 0.500 0.000 0.250
Ca 0.000 0.500 0.750
Mg 0.500 0.000 0.933
Mg 0.000 0.500 0.067
Mg 0.000 0.000 0.500
Mg 0.500 0.500 0.500
Ge 0.500 0.000 0.666
Ge 0.000 0.500 0.334

Ca3MgGe3 | PBE | optimized geometry

## Properties
Energy = -48.4 eV/cell
Magnetization = 0.0 μB per formula unit
Space group = C2/m

Unit cell a=7.410 b=7.410 c=6.924 alpha=88.82 beta=88.82 gamma=96.17
Sites, in units of the cell vectors:
Ca 0.673 0.673 0.369
Ca 0.162 0.838 0.500
Ca 0.838 0.162 0.500
Ca 0.266 0.734 0.000
Ca 0.734 0.266 0.000
Ca 0.327 0.327 0.631
Mg 0.776 0.776 0.837
Mg 0.224 0.224 0.163
Ge 0.929 0.929 0.149
Ge 0.957 0.508 0.685
Ge 0.508 0.957 0.685
Ge 0.043 0.492 0.315
Ge 0.492 0.043 0.315
Ge 0.071 0.071 0.851

Copy entry 4 word for word.
CaMgGe4 | PBE | optimized geometry

## Properties
Energy = -23.1 eV/cell
Magnetization = 0.0 μB per formula unit
Space group = F-43m

Unit cell a=5.632 b=5.632 c=5.632 alpha=60.00 beta=60.00 gamma=60.00
Sites, in units of the cell vectors:
Mg 0.000 0.000 0.000
Ge 0.626 0.626 0.122
Ge 0.626 0.122 0.626
Ge 0.626 0.626 0.626
Ge 0.122 0.626 0.626
Ca 0.250 0.250 0.250